VASP calculation (GGA-PBE) on crystalline Zn2Ag7 at its relaxed geometry.

Cell: 7.8533 7.8533 2.9042 Å, 90.00 90.00 120.00°
With the nearest neighbours (Å) after each atom.
Positions (direct):
Zn 0.3333 0.6667 0.0000  9 Ag 2.71-2.89, 2 Zn 2.90
Zn 0.6667 0.3333 0.0000  9 Ag 2.71-2.89, 2 Zn 2.90
Ag 0.0000 0.0000 0.5000  11 Ag 2.84-2.90
Ag 0.0000 0.3672 0.5000  9 Ag 2.88-3.06, 4 Zn 2.89
Ag 0.0000 0.6889 0.0000  2 Zn 2.71, 6 Ag 2.84-2.91
Ag 0.3111 0.3111 0.0000  2 Zn 2.71, 6 Ag 2.84-2.91
Ag 0.3672 0.0000 0.5000  9 Ag 2.88-3.06, 4 Zn 2.89
Ag 0.6328 0.6328 0.5000  9 Ag 2.88-3.06, 4 Zn 2.89
Ag 0.6889 0.0000 0.0000  2 Zn 2.71, 6 Ag 2.84-2.91

Computed properties:
ΔH_f (0 K)   0.002 eV/atom

***

VASP calculation (GGA-PBE) on crystalline ZnAg2 at its relaxed geometry.

Cell: 4.5035 4.5035 2.8884 Å, 90.00 90.00 120.00°
With the nearest neighbours (Å) after each atom.
Positions (direct):
Zn 0.0000 0.0000 0.0000  6 Ag 2.72, 2 Zn 2.89
Ag 0.3333 0.6667 0.7237  3 Zn 2.72, 5 Ag 2.89-2.90
Ag 0.6667 0.3333 0.2763  3 Zn 2.72, 5 Ag 2.89-2.90

Computed properties:
ΔH_f (0 K)   -0.014 eV/atom
Distance to the lowest polymorph of the same formula   0.0302 eV per atom

***

VASP calculation (GGA-PBE) on crystalline ZnAg2 at its relaxed geometry.

Cell: 2.9135 2.9135 6.8943 Å, 90.00 90.00 120.00°
With the nearest neighbours (Å) after each atom.
Positions (direct):
Zn 0.0000 0.0000 0.0000  6 Ag 2.79, 6 Zn 2.91
Ag 0.3333 0.6667 0.3230  3 Zn 2.79, 9 Ag 2.91-2.96
Ag 0.6667 0.3333 0.6770  3 Zn 2.79, 9 Ag 2.91-2.96

Computed properties:
ΔH_f (0 K)   0.009 eV/atom
Distance to the lowest polymorph of the same formula   0.0527 eV per atom

***

VASP calculation (GGA-PBE) on crystalline ZnAg3 at its relaxed geometry.

Cell: 6.5063 6.5063 6.5063 Å, 90.00 90.00 90.00°
With the nearest neighbours (Å) after each atom.
Positions (direct):
Zn 0.0000 0.0000 0.0000  8 Ag 2.82
Zn 0.0000 0.5000 0.5000  8 Ag 2.82
Zn 0.5000 0.0000 0.5000  8 Ag 2.82
Zn 0.5000 0.5000 0.0000  8 Ag 2.82
Ag 0.0000 0.0000 0.5000  8 Ag 2.82
Ag 0.0000 0.5000 0.0000  8 Ag 2.82
Ag 0.2500 0.2500 0.2500  4 Zn 2.82, 4 Ag 2.82
Ag 0.2500 0.2500 0.7500  4 Ag 2.82, 4 Zn 2.82
Ag 0.2500 0.7500 0.2500  4 Ag 2.82, 4 Zn 2.82
Ag 0.2500 0.7500 0.7500  4 Zn 2.82, 4 Ag 2.82
Ag 0.5000 0.0000 0.0000  8 Ag 2.82
Ag 0.5000 0.5000 0.5000  8 Ag 2.82
Ag 0.7500 0.2500 0.2500  4 Ag 2.82, 4 Zn 2.82
Ag 0.7500 0.2500 0.7500  4 Zn 2.82, 4 Ag 2.82
Ag 0.7500 0.7500 0.2500  4 Zn 2.82, 4 Ag 2.82
Ag 0.7500 0.7500 0.7500  4 Ag 2.82, 4 Zn 2.82

Computed properties:
ΔH_f (0 K)   0.018 eV/atom

***

no.,energy (eV/atom)
1,-2.499
2,-2.339
3,-2.317
4,-2.439